Entry 1:
This record from Alexandria describes an optimized crystal structure of KNiOF2. The functional is GGA+U. Values from VASP.

Quantum ESPRESSO input file:
```
&SYSTEM
  ibrav = 0, nat = 5, ntyp = 4
/
ATOMIC_SPECIES
O 16.00 O.upf
K 39.10 K.upf
Ni 58.69 Ni.upf
F 19.00 F.upf
CELL_PARAMETERS angstrom
4.179 0.000 0.000
0.000 4.179 0.000
0.000 0.000 3.785
ATOMIC_POSITIONS angstrom
O 0.000 0.000 1.892
K 2.090 2.090 1.892
Ni 0.000 0.000 0.000
F 2.090 0.000 0.000
F 0.000 2.090 0.000
```

Values from the calculation:
DOS(E_F) in states/eV per cell: 1.59
Space-group type: P4/mmm (123)
VASP energy in eV/atom: -4.25

---

Entry 2:
This record from Alexandria describes an optimized crystal structure of KVNiOF6. The functional is GGA+U. Values from VASP.

Quantum ESPRESSO input file:
```
&SYSTEM
  ibrav = 0, nat = 20, ntyp = 5
/
ATOMIC_SPECIES
F 19.00 F.upf
Ni 58.69 Ni.upf
V 50.94 V.upf
O 16.00 O.upf
K 39.10 K.upf
CELL_PARAMETERS angstrom
-2.732 -6.571 2.366
-6.931 2.628 -1.137
4.977 0.056 -5.609
ATOMIC_POSITIONS angstrom
F -4.628 1.710 -2.169
F -2.052 -5.640 -0.100
F -2.775 -4.647 -2.595
F -4.165 -0.612 -0.587
F -0.057 -5.596 -2.211
F -0.973 -0.514 -4.113
F -1.911 0.761 -1.784
F -6.220 -2.337 -0.678
F -2.633 1.754 -4.279
F -3.712 -3.372 -0.267
F 1.534 -1.549 -3.701
F -0.520 -3.274 -3.792
Ni 2.488 0.028 -2.805
Ni -3.465 1.314 -0.568
V -4.831 -1.971 0.615
V -0.977 1.342 -3.373
O -3.489 -1.540 -3.792
O -1.196 -2.346 -0.587
K 0.000 0.000 0.000
K 1.123 -3.257 -1.621
```

Values from the calculation:
DOS(E_F) in states/eV per cell: 7.19
Space-group type: Imma (74)
VASP energy in eV/atom: -4.84